A plane-wave DFT calculation with PBE-GGA was carried out for a relaxed ScMnCdGa crystal.

## Properties
Symmetry   No. 216
Formation enthalpy at 0 K   -0.150 eV/atom
Theoretical density   6.54 Mg/m³

Cell: 4.6600 4.6600 4.6600 Å, 60.00 60.00 60.00°
Last column: nearest neighbours and their distance in Å.
Atoms (fractional coordinates):
Cd1 0.7500 0.7500 0.7500  4 Mn 2.85, 4 Sc 2.85
Ga1 0.2500 0.2500 0.2500  4 Mn 2.85, 4 Sc 2.85
Sc1 0.0000 0.0000 0.0000  4 Ga 2.85, 4 Cd 2.85
Mn1 0.5000 0.5000 0.5000  4 Cd 2.85, 4 Ga 2.85